Record 1
! GePdRh2 | Alexandria via LeMat-Bulk | PBE-GGA | optimized geometry; values from VASP
! E_form ... 0.50 eV per formula unit
! Space group ... No. 122
&SYSTEM
  ibrav = 0, nat = 16, ntyp = 3
/
ATOMIC_SPECIES
Ge 72.64 Ge.upf
Pd 106.42 Pd.upf
Rh 102.91 Rh.upf
ATOMIC_POSITIONS crystal
Ge 0.000 0.000 0.000
Ge 0.000 0.500 0.250
Ge 0.500 0.000 0.750
Ge 0.500 0.500 0.500
Pd 0.000 0.000 0.500
Pd 0.000 0.500 0.750
Pd 0.500 0.000 0.250
Pd 0.500 0.500 0.000
Rh 0.245 0.250 0.125
Rh 0.250 0.745 0.375
Rh 0.250 0.755 0.875
Rh 0.255 0.250 0.625
Rh 0.745 0.750 0.625
Rh 0.750 0.245 0.875
Rh 0.750 0.255 0.375
Rh 0.755 0.750 0.125
CELL_PARAMETERS angstrom
3.723 0.000 0.000
0.000 3.723 0.000
0.000 0.000 18.449

Record 2
! Ge4PdRh5 | Alexandria via LeMat-Bulk | PBE-GGA | optimized geometry; values from VASP
! E_form ... -3.40 eV per formula unit
! Space group ... No. 59
&SYSTEM
  ibrav = 0, nat = 20, ntyp = 3
/
ATOMIC_SPECIES
Ge 72.64 Ge.upf
Pd 106.42 Pd.upf
Rh 102.91 Rh.upf
ATOMIC_POSITIONS crystal
Ge 0.055 0.250 0.065
Ge 0.250 0.568 0.444
Ge 0.250 0.932 0.444
Ge 0.445 0.250 0.065
Ge 0.555 0.750 0.935
Ge 0.750 0.068 0.556
Ge 0.750 0.432 0.556
Ge 0.945 0.750 0.935
Pd 0.250 0.250 0.437
Pd 0.750 0.750 0.563
Rh 0.041 0.022 0.758
Rh 0.041 0.478 0.758
Rh 0.250 0.750 0.100
Rh 0.459 0.022 0.758
Rh 0.459 0.478 0.758
Rh 0.541 0.522 0.242
Rh 0.541 0.978 0.242
Rh 0.750 0.250 0.900
Rh 0.959 0.522 0.242
Rh 0.959 0.978 0.242
CELL_PARAMETERS angstrom
7.436 0.000 0.000
0.000 7.893 0.000
0.000 0.000 5.600

Record 3
! GePd3Rh | Alexandria via LeMat-Bulk | PBE-GGA | optimized geometry; values from VASP
! E above lowest polymorph ... 0 meV/atom
! E_form ... 2.96 eV per formula unit
! Space group ... No. 221
&SYSTEM
  ibrav = 0, nat = 5, ntyp = 3
/
ATOMIC_SPECIES
Ge 72.64 Ge.upf
Pd 106.42 Pd.upf
Rh 102.91 Rh.upf
ATOMIC_POSITIONS crystal
Ge 0.000 0.000 0.000
Pd 0.000 0.000 0.500
Pd 0.000 0.500 0.000
Pd 0.500 0.000 0.000
Rh 0.500 0.500 0.500
CELL_PARAMETERS angstrom
4.575 0.000 0.000
0.000 4.575 0.000
0.000 0.000 4.575

Record 4
! Ge2PdRh2 | Alexandria via LeMat-Bulk | PBE-GGA | optimized geometry; values from VASP
! E above lowest polymorph ... 140 meV/atom
! E_form ... -1.60 eV per formula unit
! Space group ... No. 139
&SYSTEM
  ibrav = 0, nat = 10, ntyp = 3
/
ATOMIC_SPECIES
Ge 72.64 Ge.upf
Pd 106.42 Pd.upf
Rh 102.91 Rh.upf
ATOMIC_POSITIONS crystal
Ge 0.000 0.000 0.118
Ge 0.000 0.000 0.882
Ge 0.500 0.500 0.382
Ge 0.500 0.500 0.618
Pd 0.000 0.000 0.500
Pd 0.500 0.500 0.000
Rh 0.000 0.500 0.250
Rh 0.000 0.500 0.750
Rh 0.500 0.000 0.250
Rh 0.500 0.000 0.750
CELL_PARAMETERS angstrom
4.045 0.000 0.000
0.000 4.045 0.000
0.000 0.000 10.051

Record 5
! Ge6PdRh5 | Alexandria via LeMat-Bulk | PBE-GGA | optimized geometry; values from VASP
! E_form ... -3.12 eV per formula unit
! Space group ... No. 12
&SYSTEM
  ibrav = 0, nat = 12, ntyp = 3
/
ATOMIC_SPECIES
Ge 72.64 Ge.upf
Pd 106.42 Pd.upf
Rh 102.91 Rh.upf
ATOMIC_POSITIONS crystal
Ge 0.024 0.399 0.703
Ge 0.192 0.192 0.210
Ge 0.399 0.024 0.703
Ge 0.601 0.976 0.297
Ge 0.808 0.808 0.790
Ge 0.976 0.601 0.297
Pd 0.500 0.500 0.000
Rh 0.000 0.000 0.500
Rh 0.183 0.817 0.000
Rh 0.377 0.623 0.500
Rh 0.623 0.377 0.500
Rh 0.817 0.183 0.000
CELL_PARAMETERS angstrom
2.682 -5.786 0.000
2.682 5.786 0.000
-2.475 0.000 6.190

Record 6
! GePd2Rh | Alexandria via LeMat-Bulk | PBE-GGA | optimized geometry; values from VASP
! E_form ... -0.08 eV per formula unit
! Space group ... No. 122
&SYSTEM
  ibrav = 0, nat = 16, ntyp = 3
/
ATOMIC_SPECIES
Ge 72.64 Ge.upf
Pd 106.42 Pd.upf
Rh 102.91 Rh.upf
ATOMIC_POSITIONS crystal
Ge 0.000 0.000 0.000
Ge 0.000 0.500 0.250
Ge 0.500 0.000 0.750
Ge 0.500 0.500 0.500
Pd 0.248 0.250 0.125
Pd 0.250 0.748 0.375
Pd 0.250 0.752 0.875
Pd 0.252 0.250 0.625
Pd 0.748 0.750 0.625
Pd 0.750 0.248 0.875
Pd 0.750 0.252 0.375
Pd 0.752 0.750 0.125
Rh 0.000 0.000 0.500
Rh 0.000 0.500 0.750
Rh 0.500 0.000 0.250
Rh 0.500 0.500 0.000
CELL_PARAMETERS angstrom
3.706 0.000 0.000
0.000 3.706 0.000
0.000 0.000 18.773

Record 7
! Sm3Ge6Pd2Rh | Alexandria via LeMat-Bulk | PBE-GGA | optimized geometry; values from VASP
! E_form ... -5.94 eV per formula unit
! Space group ... No. 164
&SYSTEM
  ibrav = 0, nat = 12, ntyp = 4
/
ATOMIC_SPECIES
Sm 150.36 Sm.upf
Ge 72.64 Ge.upf
Pd 106.42 Pd.upf
Rh 102.91 Rh.upf
ATOMIC_POSITIONS crystal
Sm 0.000 0.000 0.000
Sm 0.333 0.667 0.619
Sm 0.667 0.333 0.381
Ge 0.186 0.372 0.286
Ge 0.186 0.814 0.286
Ge 0.372 0.186 0.714
Ge 0.628 0.814 0.286
Ge 0.814 0.186 0.714
Ge 0.814 0.628 0.714
Pd 0.333 0.667 0.019
Pd 0.667 0.333 0.981
Rh 0.000 0.000 0.500
CELL_PARAMETERS angstrom
5.954 0.000 0.000
-2.977 5.156 0.000
0.000 0.000 8.033

Record 8
! SmGePdRh | Alexandria via LeMat-Bulk | PBE-GGA | optimized geometry; values from VASP
! E_form ... -2.13 eV per formula unit
! Space group ... No. 38
&SYSTEM
  ibrav = 0, nat = 8, ntyp = 4
/
ATOMIC_SPECIES
Sm 150.36 Sm.upf
Ge 72.64 Ge.upf
Pd 106.42 Pd.upf
Rh 102.91 Rh.upf
ATOMIC_POSITIONS crystal
Sm 0.000 0.000 0.000
Sm 0.000 0.500 0.500
Ge 0.500 0.000 0.640
Ge 0.500 0.500 0.140
Pd 0.000 0.000 0.736
Pd 0.000 0.500 0.236
Rh 0.500 0.000 0.354
Rh 0.500 0.500 0.854
CELL_PARAMETERS angstrom
4.526 0.000 0.000
0.000 3.381 0.000
0.000 0.000 9.948

Record 9
! Sm2Ge4Pd3Rh | Alexandria via LeMat-Bulk | PBE-GGA | optimized geometry; values from VASP
! E_form ... -8.13 eV per formula unit
! Space group ... No. 115
&SYSTEM
  ibrav = 0, nat = 10, ntyp = 4
/
ATOMIC_SPECIES
Sm 150.36 Sm.upf
Ge 72.64 Ge.upf
Pd 106.42 Pd.upf
Rh 102.91 Rh.upf
ATOMIC_POSITIONS crystal
Sm 0.000 0.500 0.248
Sm 0.500 0.000 0.752
Ge 0.000 0.000 0.000
Ge 0.000 0.500 0.629
Ge 0.500 0.000 0.371
Ge 0.500 0.500 0.000
Pd 0.000 0.500 0.866
Pd 0.500 0.000 0.134
Pd 0.500 0.500 0.500
Rh 0.000 0.000 0.500
CELL_PARAMETERS angstrom
4.260 0.000 0.000
0.000 4.260 0.000
0.000 0.000 10.379

Record 10
! SmGe2PdRh2 | Alexandria via LeMat-Bulk | PBE-GGA | optimized geometry; values from VASP
! E_form ... -1.16 eV per formula unit
! Space group ... No. 123
&SYSTEM
  ibrav = 0, nat = 6, ntyp = 4
/
ATOMIC_SPECIES
Sm 150.36 Sm.upf
Ge 72.64 Ge.upf
Pd 106.42 Pd.upf
Rh 102.91 Rh.upf
ATOMIC_POSITIONS crystal
Sm 0.000 0.000 0.000
Ge 0.000 0.500 0.500
Ge 0.500 0.000 0.500
Pd 0.000 0.000 0.500
Rh 0.500 0.500 0.244
Rh 0.500 0.500 0.756
CELL_PARAMETERS angstrom
4.623 0.000 0.000
0.000 4.623 0.000
0.000 0.000 5.562

Record 11
! Sr2Ge4Pd3Rh | Alexandria via LeMat-Bulk | PBE-GGA | optimized geometry; values from VASP
! E_form ... -7.02 eV per formula unit
! Space group ... No. 115
&SYSTEM
  ibrav = 0, nat = 10, ntyp = 4
/
ATOMIC_SPECIES
Sr 87.62 Sr.upf
Ge 72.64 Ge.upf
Pd 106.42 Pd.upf
Rh 102.91 Rh.upf
ATOMIC_POSITIONS crystal
Sr 0.000 0.500 0.246
Sr 0.500 0.000 0.754
Ge 0.000 0.000 0.000
Ge 0.000 0.500 0.625
Ge 0.500 0.000 0.375
Ge 0.500 0.500 0.000
Pd 0.000 0.500 0.867
Pd 0.500 0.000 0.133
Pd 0.500 0.500 0.500
Rh 0.000 0.000 0.500
CELL_PARAMETERS angstrom
4.314 0.000 0.000
0.000 4.314 0.000
0.000 0.000 10.674

Record 12
! Sr2Ge3Pd4Rh | Alexandria via LeMat-Bulk | PBE-GGA | optimized geometry; values from VASP
! E_form ... -5.77 eV per formula unit
! Space group ... No. 115
&SYSTEM
  ibrav = 0, nat = 10, ntyp = 4
/
ATOMIC_SPECIES
Sr 87.62 Sr.upf
Ge 72.64 Ge.upf
Pd 106.42 Pd.upf
Rh 102.91 Rh.upf
ATOMIC_POSITIONS crystal
Sr 0.000 0.500 0.244
Sr 0.500 0.000 0.756
Ge 0.000 0.000 0.000
Ge 0.000 0.500 0.621
Ge 0.500 0.000 0.379
Pd 0.000 0.000 0.500
Pd 0.000 0.500 0.860
Pd 0.500 0.000 0.140
Pd 0.500 0.500 0.500
Rh 0.500 0.500 0.000
CELL_PARAMETERS angstrom
4.397 0.000 0.000
0.000 4.397 0.000
0.000 0.000 10.374

Question: The lowest E_form belongs to which entry?
Answer: Sm2Ge4Pd3Rh

Question: What is the formula in the tenth record?
Answer: SmGe2PdRh2

Question: Which of these has the highest E_form?
Answer: GePd3Rh